The following is a DFT calculation (PBE) of a relaxed structure of Pr2Sm7Cd2.

a b c (Å): 9.193 9.810 8.264
angles (deg): 90.00 103.74 90.00
Space group C2/m (No. 12)
Symmetry-distinct sites (fractional):
Pr 0.000 0.181 0.000
Sm 0.000 0.000 0.500
Sm 0.180 0.297 0.671
Sm 0.192 0.500 0.035
Cd 0.105 0.500 0.362

Calculated values
The spin magnetization is 0.0 Bohr magnetons per cell. As for the formation energy: 0.38 eV per formula unit.

=====

The following is a DFT calculation (PBE) of a relaxed structure of Pr5Sm2Cd4.

a b c (Å): 24.826 3.442 8.176
angles (deg): 90.00 92.82 90.00
Space group C2/m (No. 12)
Symmetry-distinct sites (fractional):
Pr 0.000 0.000 0.000
Pr 0.140 0.500 0.126
Pr 0.233 0.500 0.788
Sm 0.091 0.500 0.719
Cd 0.036 0.500 0.356
Cd 0.166 0.000 0.472

Calculated values
The spin magnetization is 0.0 Bohr magnetons per cell. As for the formation energy: -0.05 eV per formula unit.

=====

The following is a DFT calculation (PBE) of a relaxed structure of PrSm2Cd2Sn2.

a b c (Å): 5.0021 5.0021 27.3554
angles (deg): 90.00 90.00 120.00
Space group R-3m (No. 166, hexagonal axes)
Symmetry-distinct sites (fractional):
Pr 0.0000 0.0000 0.0000
Sm 0.0000 0.0000 0.1327
Cd 0.0000 0.0000 0.4214
Sn 0.0000 0.0000 0.2664

Calculated values
The spin magnetization is 0.0 Bohr magnetons per cell. As for the formation energy: -2.39 eV per formula unit.